# 1
A plane-wave DFT calculation with PBE was carried out for a relaxed Nd6Ge3SeS2 crystal.

Values from the calculation:
final energy = -5.943 eV per atom
space group = C2/m
volume = 321.3 Å³ per cell
raw formation energy = -17.1 eV/f.u.

abc: 4.2315 8.4703 9.4640
angles: 103.30 102.92 90.00
With the nearest neighbours (Å) after each atom.
Fractional coordinates of all 12 atoms:
Ge  0.1658  0.8320  0.3316  6 Nd 2.96-3.00
Ge  0.8342  0.1680  0.6684  6 Nd 2.96-3.00
Ge  0.5000  0.5000  0.0000  6 Nd 2.96-3.00
Nd  0.9989  0.7439  0.9978  3 Ge 2.96-2.99, 1 S 2.98, 2 Se 3.03
Nd  0.3310  0.9153  0.6621  3 Ge 2.96-3.00, 2 S 2.99, 1 Se 3.03
Nd  0.6690  0.0847  0.3379  3 Ge 2.96-3.00, 2 S 2.99, 1 Se 3.03
Nd  0.0011  0.2561  0.0022  3 Ge 2.96-2.99, 1 S 2.98, 2 Se 3.03
Nd  0.3328  0.4173  0.6655  3 S 2.97-2.99, 3 Ge 2.99-3.00
Nd  0.6672  0.5827  0.3345  3 S 2.97-2.99, 3 Ge 2.99-3.00
S  0.8327  0.6662  0.6654  6 Nd 2.97-2.99
S  0.1673  0.3338  0.3346  6 Nd 2.97-2.99
Se  0.5000  0.0000  0.0000  6 Nd 3.03

# 2
A plane-wave DFT calculation with PBE was carried out for a relaxed GeH6CN3F3 crystal.

Values from the calculation:
final energy = -5.569 eV per atom
space group = P2_1/c
volume = 711.4 Å³ per cell

abc: 7.2472 7.7348 14.9580
angles: 90.00 121.95 90.00
With the nearest neighbours (Å) after each atom.
Fractional coordinates of all 56 atoms:
N  0.9586  0.7139  0.5387  2 H 1.02
N  0.0393  0.3039  0.3060  2 H 1.02
N  0.0393  0.1961  0.8060  2 H 1.02
N  0.3603  0.2419  0.4629  2 H 1.02
N  0.6397  0.7419  0.0371  2 H 1.02
N  0.0414  0.2139  0.9613  2 H 1.02
N  0.0414  0.2861  0.4613  2 H 1.02
N  0.9607  0.8039  0.1940  2 H 1.02
N  0.3603  0.2581  0.9629  2 H 1.02
N  0.6397  0.7581  0.5371  2 H 1.02
N  0.9586  0.7861  0.0387  2 H 1.02
N  0.9607  0.6961  0.6940  2 H 1.02
C  0.1471  0.2777  0.4104  3 N 1.34
C  0.1471  0.2223  0.9104  3 N 1.34
C  0.8529  0.7223  0.5896  3 N 1.34
C  0.8529  0.7777  0.0896  3 N 1.34
H  0.5575  0.7881  0.4587  1 N 1.02
H  0.1219  0.6886  0.5787  1 N 1.02
H  0.4425  0.2881  0.0413  1 N 1.02
H  0.1238  0.2148  0.0419  1 N 1.02
H  0.4425  0.2119  0.5413  1 N 1.02
H  0.1231  0.6671  0.7351  1 N 1.02
H  0.8781  0.3114  0.4213  1 N 1.02
H  0.5533  0.7351  0.5719  1 N 1.02
H  0.1231  0.8329  0.2351  1 N 1.02
H  0.1238  0.2852  0.5419  1 N 1.02
H  0.8769  0.3329  0.2649  1 N 1.02
H  0.8762  0.7148  0.4581  1 N 1.02
H  0.4467  0.2351  0.9281  1 N 1.02
H  0.1219  0.8114  0.0787  1 N 1.02
H  0.8762  0.7852  0.9581  1 N 1.02
H  0.8781  0.1886  0.9213  1 N 1.02
H  0.1084  0.2295  0.7641  1 N 1.02
H  0.8916  0.7705  0.2359  1 N 1.02
H  0.8916  0.7295  0.7359  1 N 1.02
H  0.5533  0.7649  0.0719  1 N 1.02
H  0.5575  0.7119  0.9587  1 N 1.02
H  0.1084  0.2705  0.2641  1 N 1.02
H  0.4467  0.2649  0.4281  1 N 1.02
H  0.8769  0.1671  0.7649  1 N 1.02
F  0.2384  0.2445  0.6843  2 H 1.86-1.88, 1 Ge 1.92
F  0.7616  0.7555  0.3157  2 H 1.86-1.88, 1 Ge 1.92
F  0.5837  0.1237  0.6790  2 H 1.84-1.88, 1 Ge 1.89
F  0.5837  0.3763  0.1790  2 H 1.84-1.88, 1 Ge 1.89
F  0.5910  0.1295  0.8644  2 H 1.84-1.93, 1 Ge 1.89
F  0.4163  0.6237  0.8210  2 H 1.84-1.88, 1 Ge 1.89
F  0.4090  0.8705  0.1356  2 H 1.84-1.93, 1 Ge 1.89
F  0.2384  0.2555  0.1843  2 H 1.86-1.88, 1 Ge 1.92
F  0.7616  0.7445  0.8157  2 H 1.86-1.88, 1 Ge 1.92
F  0.4090  0.6295  0.6356  2 H 1.84-1.93, 1 Ge 1.89
F  0.4163  0.8763  0.3210  2 H 1.84-1.88, 1 Ge 1.89
F  0.5910  0.3705  0.3644  2 H 1.84-1.93, 1 Ge 1.89
Ge  0.5914  0.5357  0.7721  3 F 1.89-1.92
Ge  0.4086  0.4643  0.2279  3 F 1.89-1.92
Ge  0.4086  0.0357  0.7279  3 F 1.89-1.92
Ge  0.5914  0.9643  0.2721  3 F 1.89-1.92

# 3
A plane-wave DFT calculation with PBE was carried out for a relaxed Sm2Ho3Sc7 crystal.

Values from the calculation:
final energy = -5.518 eV per atom
space group = P2/m
volume = 332.5 Å³ per cell
formation energy from the elements = 0.11 eV/atom

abc: 3.4327 5.4561 17.7751
angles: 93.03 90.00 90.00
With the nearest neighbours (Å) after each atom.
Fractional coordinates of all 12 atoms:
Sm  0.5000  0.2909  0.7103  3 Sc 3.06-3.16
Sm  0.5000  0.7091  0.2897  3 Sc 3.06-3.16
Sc  0.0000  0.3053  0.8600  7 Sc 3.07-3.43, 2 Ho 3.16, 2 Sm 3.16
Sc  0.0000  0.6947  0.1400  7 Sc 3.07-3.43, 2 Ho 3.16, 2 Sm 3.16
Sc  0.5000  0.8050  0.8299  8 Sc 3.24-3.59, 2 Sm 3.43-3.49, 1 Ho 3.53
Sc  0.0000  0.0000  0.0000  4 Sc 3.07-3.43, 4 Ho 3.22
Sc  0.5000  0.2571  0.5380  2 Sc 3.04-3.05, 1 Sm 3.06
Sc  0.5000  0.7429  0.4620  2 Sc 3.04-3.05, 1 Sm 3.06
Sc  0.5000  0.1950  0.1701  8 Sc 3.24-3.59, 2 Sm 3.43-3.49, 1 Ho 3.53
Ho  0.5000  0.5000  0.0000  10 Sc 3.16-3.53, 2 Ho 3.43
Ho  0.0000  0.7753  0.6284  6 Sc 3.42-3.61, 2 Ho 3.43, 4 Sm 3.53-3.54
Ho  0.0000  0.2247  0.3716  6 Sc 3.42-3.61, 2 Ho 3.43, 4 Sm 3.53-3.54